1.
First-principles (PBE) data for a relaxed structure of Ac2Sm3TmTe6, as listed in the Alexandria database.

Computed properties:
- total moment (μB per formula unit) = 0.0
- uncorrected formation energy (eV per atom) = -1.3655
- calculated total energy (eV per atom) = -5.174

a b c (Å): 19.6362 4.4652 9.1526
angles (deg): 90.00 102.29 90.00
Space group C2/m (No. 12)
Inequivalent atoms, fractional coordinates:
Ac  0.1666  0.0000  0.3340 (multiplicity 4)
Sm  0.0000  0.5000  0.5000 (multiplicity 2)
Sm  0.1757  0.0000  0.8379 (multiplicity 4)
Tm  0.0000  0.5000  0.0000 (multiplicity 2)
Te  0.0076  0.0000  0.7633 (multiplicity 4)
Te  0.1590  0.5000  0.0668 (multiplicity 4)
Te  0.1618  0.5000  0.5952 (multiplicity 4)

2.
First-principles (PBE) data for a relaxed structure of Ac2SmTmTe6, as listed in the Alexandria database.

Computed properties:
- total moment (μB per formula unit) = 0.0
- uncorrected formation energy (eV per atom) = -1.4377
- calculated total energy (eV per atom) = -5.064

a b c (Å): 8.1123 8.1123 21.1939
angles (deg): 90.00 90.00 120.00
Space group R3 (No. 146, hexagonal axes)
Inequivalent atoms, fractional coordinates:
Ac  0.0000  0.0000  0.0000 (multiplicity 3)
Ac  0.0000  0.0000  0.4995 (multiplicity 3)
Sm  0.0000  0.0000  0.2984 (multiplicity 3)
Tm  0.0000  0.0000  0.7994 (multiplicity 3)
Te  0.0084  0.3850  0.0575 (multiplicity 9)
Te  0.0186  0.6288  0.5554 (multiplicity 9)

3.
First-principles (PBE) data for a relaxed structure of Ac2SmTmTe5, as listed in the Alexandria database.

Computed properties:
- total moment (μB per formula unit) = 0.0
- uncorrected formation energy (eV per atom) = -1.0319
- calculated total energy (eV per atom) = -4.711

a b c (Å): 5.4579 5.4579 11.7431
angles (deg): 90.00 90.00 90.00
Space group P4/mmm (No. 123)
Inequivalent atoms, fractional coordinates:
Ac  0.0000  0.0000  0.2028 (multiplicity 2)
Sm  0.5000  0.5000  0.5000 (multiplicity 1)
Tm  0.5000  0.5000  0.0000 (multiplicity 1)
Te  0.0000  0.0000  0.5000 (multiplicity 1)
Te  0.0000  0.5000  0.0000 (multiplicity 2)
Te  0.5000  0.5000  0.2516 (multiplicity 2)

4.
First-principles (PBE) data for a relaxed structure of Ac2SmYTe5, as listed in the Alexandria database.

Computed properties:
- total moment (μB per formula unit) = 0.0
- uncorrected formation energy (eV per atom) = -0.9489
- calculated total energy (eV per atom) = -4.850

a b c (Å): 5.6259 5.6259 11.6662
angles (deg): 90.00 90.00 90.00
Space group P4/mmm (No. 123)
Inequivalent atoms, fractional coordinates:
Ac  0.0000  0.0000  0.1960 (multiplicity 2)
Sm  0.5000  0.5000  0.0000 (multiplicity 1)
Y  0.5000  0.5000  0.5000 (multiplicity 1)
Te  0.0000  0.0000  0.5000 (multiplicity 1)
Te  0.0000  0.5000  0.0000 (multiplicity 2)
Te  0.5000  0.5000  0.2574 (multiplicity 2)